DFT (GGA-PBEsol) results for a relaxed structure of SrSc.

Output
The crystal system is tetragonal. The calculation puts the energy above the most stable polymorph in this dataset at 0.200 eV/atom. Its total energy is -3.825 eV/atom. For the magnetic moment, the calculation gives 0.51 μB/atom.

a b c (Å): 6.1675 6.1675 6.1675
angles (deg): 129.47 129.47 74.26
Last column: nearest neighbours and their distance in Å.
Sites, in units of the cell vectors:
Sr1 0.3750 0.6250 0.7500  8 Sc 3.60-3.72, 4 Sr 3.60
Sr2 0.6250 0.3750 0.2500  4 Sr 3.60, 8 Sc 3.60-3.72
Sc1 0.1250 0.8750 0.2500  4 Sc 3.60, 8 Sr 3.60-3.72
Sc2 0.8750 0.1250 0.7500  4 Sc 3.60, 8 Sr 3.60-3.72